# 1
The following is a GGA-PBE calculation of Sm2ThAl after structural relaxation, from Alexandria.

Calculated values
Formation energy from the elements = 0.0598 eV per atom
Distance to the lowest polymorph of the same formula = 0.216 eV per atom
Crystal system = cubic
Symmetry = Fm-3m (225)

Cell lengths 5.4400, 5.4400, 5.4400 Å; angles 60.00, 60.00, 60.00 degrees
Atoms (fractional coordinates):
Sm 0.2500 0.2500 0.2500
Sm 0.7500 0.7500 0.7500
Th 0.0000 0.0000 0.0000
Al 0.5000 0.5000 0.5000

---

# 2
The following is a GGA-PBE calculation of Gd2TmP after structural relaxation, from Alexandria.

Calculated values
Formation energy from the elements = -0.6602 eV per atom
Crystal system = trigonal
Symmetry = R-3m (166)

Cell lengths 3.8181, 3.8181, 9.5990 Å; angles 78.53, 78.53, 60.00 degrees
Each line ends with the local moment (μB).
Atoms (fractional coordinates):
Gd 0.2733 0.2733 0.1802  7.17
Gd 0.7267 0.7267 0.8198  7.17
P 0.0000 0.0000 0.0000  -0.05
Tm 0.5000 0.5000 0.5000  0.51

---

# 3
The following is a GGA-PBE calculation of RbSnOsSe2 after structural relaxation, from Alexandria.

Calculated values
Crystal system = tetragonal
Raw total energy = -3.9193 eV per atom
Symmetry = P4/mmm (123)

Cell lengths 5.5587, 5.1604, 5.5587 Å; angles 90.00, 90.00, 90.00 degrees
Each line ends with the local moment (μB).
Atoms (fractional coordinates):
Se 0.0000 0.0000 0.5000  0.17
Se 0.5000 0.0000 0.0000  0.17
Os 0.0000 0.5000 0.0000  2.31
Sn 0.0000 0.0000 0.0000  -0.10
Rb 0.5000 0.5000 0.5000  0.00

---

# 4
The following is a GGA-PBE calculation of BaCdIn2Cl6 after structural relaxation, from Alexandria.

Calculated values
Crystal system = triclinic
Raw total energy = -3.3131 eV per atom
Symmetry = P1 (1)

Cell lengths 7.7743, 7.7736, 7.8688 Å; angles 60.31, 60.32, 59.90 degrees
Atoms (fractional coordinates):
Ba 0.8144 0.8146 0.5564
Cd 0.3167 0.3166 0.0499
In 0.5277 0.5280 0.4168
In 0.0301 0.0304 0.9083
Cl 0.5737 0.1815 0.2512
Cl 0.1811 0.9936 0.2525
Cl 0.9936 0.5741 0.2514
Cl 0.4457 0.6559 0.7756
Cl 0.6561 0.1214 0.7768
Cl 0.1224 0.4454 0.7761